Density functional theory data (PBE) for crystalline LaAg2Pb2 at its relaxed geometry.

a b c (Å): 8.4574 8.4574 3.6622
angles (deg): 90.00 90.00 90.00
With the nearest neighbours (Å) after each atom.
Space group P4/mbm (No. 127)
Asymmetric unit:
La: 0.0000 0.0000 0.0000 [2 per cell]  4 Ag 3.38, 8 Pb 3.60, 2 La 3.66
Ag: 0.1177 0.3823 0.0000 [4 per cell]  1 Ag 2.82, 2 Pb 3.03
Pb: 0.1805 0.6805 0.5000 [4 per cell]  6 Ag 3.03-3.16

Results
Fermi-level density of states: 0.567 states/eV per atom
Energy above the most stable polymorph in this dataset: 40 meV/atom



Density functional theory data (PBE) for crystalline LaAgPb2 at its relaxed geometry.

a b c (Å): 3.4693 3.4693 32.3368
angles (deg): 90.00 90.00 120.00
With the nearest neighbours (Å) after each atom.
Space group R-3m (No. 166, hexagonal axes)
Asymmetric unit:
La: 0.0000 0.0000 0.0000 [3 per cell]  6 La 3.47, 6 Pb 3.62
Ag: 0.0000 0.0000 0.5000 [3 per cell]  6 Pb 3.11, 6 Ag 3.47
Pb: 0.0000 0.0000 0.2402 [6 per cell]  3 Ag 3.11, 6 Pb 3.47

Results
Fermi-level density of states: 1.229 states/eV per atom



Density functional theory data (PBE) for crystalline LaAg3Pb3 at its relaxed geometry.

a b c (Å): 7.7452 7.7452 7.7452
angles (deg): 90.00 90.00 90.00
With the nearest neighbours (Å) after each atom.
Space group Pm-3n (No. 223)
Asymmetric unit:
La: 0.0000 0.0000 0.0000 [2 per cell]  12 Pb 4.33, 12 Ag 4.33
Ag: 0.0000 0.2500 0.5000 [6 per cell]  4 Pb 2.74
Pb: 0.0000 0.5000 0.2500 [6 per cell]  4 Ag 2.74

Results
Fermi-level density of states: 0.909 states/eV per atom



Density functional theory data (PBE) for crystalline La2AgPb at its relaxed geometry.

a b c (Å): 4.1830 4.1830 26.4329
angles (deg): 90.00 90.00 120.00
With the nearest neighbours (Å) after each atom.
Space group R-3m (No. 166, hexagonal axes)
Asymmetric unit:
La: 0.0000 0.0000 0.2454 [6 per cell]  3 Ag 3.19, 3 Pb 3.35
Ag: 0.0000 0.0000 0.5000 [3 per cell]  6 La 3.19
Pb: 0.0000 0.0000 0.0000 [3 per cell]  6 La 3.35

Results
Fermi-level density of states: 1.380 states/eV per atom



no.,total magnetic moment (μB per cell),DFT formation energy (meV/atom),E_tot (eV/atom)
1,0.76,-162.5,-3.7719
2,0.00,-42.3,-3.8411
3,0.38,333.6,-3.1815
4,0.00,-214.2,-4.3178